(1)
The following is a DFT calculation (GGA-PBE) of a relaxed structure of PaCuS3I.

```
12
Lattice="3.873 0.000 0.000 -1.936 9.258 0.000 0.000 0.000 10.302" Properties=species:S:1:pos:R:3 pbc="T T T"
Pa 0.000 0.000 5.151
S 0.000 0.831 7.726
Cu 0.000 8.770 7.726
S 0.000 7.579 9.679
S 0.000 7.579 5.773
S 1.936 1.679 4.528
I 0.000 5.080 2.575
S 1.936 8.427 2.575
Pa 0.000 0.000 0.000
I 1.936 4.178 7.726
Cu 1.936 0.488 2.575
S 1.936 1.679 0.622
```

Computed properties:
- calculated volume (Å³/f.u.) = 185
- electronic total energy (Ry/atom) = -0.40240
- space group = Cmcm
- crystal system = orthorhombic


(2)
The following is a DFT calculation (GGA-PBE) of a relaxed structure of PaTlCuI6.

```
18
Lattice="7.638 0.000 0.000 -3.819 6.615 0.000 0.000 0.000 15.648" Properties=species:S:1:pos:R:3 pbc="T T T"
I 1.047 6.525 5.626
I 1.463 2.356 13.450
I 2.510 4.169 10.021
I 2.356 4.259 2.198
I 6.175 2.356 10.021
I 5.128 4.169 13.450
I 2.772 0.089 10.021
Pa 0.000 4.410 11.736
I 4.866 0.089 13.450
Cu 3.819 2.205 11.736
I -1.047 6.525 2.198
Tl 0.000 0.000 0.000
I 1.309 2.445 5.626
Cu 0.000 4.410 3.912
I -2.356 4.259 5.626
Pa 3.819 2.205 3.912
Tl 0.000 0.000 7.824
I -1.309 2.445 2.198
```

Computed properties:
- calculated volume (Å³/f.u.) = 395
- electronic total energy (Ry/atom) = -0.25325
- space group = P-31c
- crystal system = trigonal


(3)
The following is a DFT calculation (GGA-PBE) of a relaxed structure of PaTlCu2I8.

```
12
Lattice="7.317 -0.511 -0.081 2.922 6.727 -0.081 0.337 0.205 10.189" Properties=species:S:1:pos:R:3 pbc="T T T"
Pa 0.000 0.000 0.000
I 3.123 1.896 5.471
I 7.701 4.676 -0.073
Tl 0.169 0.102 5.094
I 4.091 4.976 2.029
I 6.485 1.446 7.996
I 6.302 1.335 2.029
Cu 6.704 4.071 2.238
I 7.454 4.526 4.555
Cu 3.872 2.351 7.788
I 2.876 1.746 10.098
I 4.275 5.087 7.996
```

Computed properties:
- calculated volume (Å³/f.u.) = 517
- electronic total energy (Ry/atom) = -0.24011
- space group = C2/m
- crystal system = monoclinic


(4)
The following is a DFT calculation (GGA-PBE) of a relaxed structure of Cu2PbI6.

```
18
Lattice="7.323 -0.258 -0.249 1.750 9.747 0.046 1.750 0.362 9.741" Properties=species:S:1:pos:R:3 pbc="T T T"
Cu 3.875 6.225 7.445
I 6.551 1.868 0.182
I 7.935 9.480 7.552
Pb 7.243 8.469 0.979
I 5.705 5.752 1.328
I 5.071 7.091 5.345
Cu 3.287 2.337 3.682
I 8.781 8.209 3.707
I 2.889 0.371 1.985
Cu 7.537 7.514 5.855
Cu 6.949 3.627 2.092
I 5.119 4.099 8.209
I 5.753 2.760 4.192
I 8.733 5.443 6.789
Pb 3.581 1.382 8.558
I 2.091 4.408 2.748
I 4.273 7.984 9.355
I 2.043 1.643 5.831
```

Computed properties:
- calculated volume (Å³/f.u.) = 352
- electronic total energy (Ry/atom) = -0.18996
- space group = C2/c
- crystal system = monoclinic


(5)
The following is a DFT calculation (GGA-PBE) of a relaxed structure of CuPbI3.

```
20
Lattice="-1.580 -0.006 8.017 -8.680 -1.375 -1.712 1.481 -11.158 1.452" Properties=species:S:1:pos:R:3 pbc="T T T"
Cu -4.727 -1.856 2.717
I -4.059 -2.546 0.242
I -9.481 -3.447 6.113
Pb -5.208 -12.075 1.029
Cu -4.053 -10.682 5.040
Pb -6.756 -6.502 4.308
I 0.701 -9.091 1.644
Cu -8.093 -5.748 -0.501
I -1.505 -5.723 0.318
Cu -0.686 -6.790 8.258
I -4.721 -9.992 7.514
Pb -3.572 -0.463 6.728
Pb -2.023 -6.036 3.449
I -1.479 -11.293 5.067
I -8.629 -5.037 2.000
I -4.390 -4.080 4.224
I -7.274 -6.816 7.439
I -0.151 -7.501 5.757
I -7.300 -1.246 2.689
I -4.389 -8.459 3.532
```

Computed properties:
- calculated volume (Å³/f.u.) = 207
- electronic total energy (Ry/atom) = -0.21227
- space group = P2_1/c
- crystal system = monoclinic


(6)
The following is a DFT calculation (GGA-PBE) of a relaxed structure of CuPbI3.

```
5
Lattice="-2.664 -0.598 -4.741 4.644 -1.600 -2.408 -1.124 -5.197 1.287" Properties=species:S:1:pos:R:3 pbc="T T T"
I -0.562 -2.599 0.643
Cu 0.000 0.000 0.000
I -1.332 -0.299 -2.370
I 2.322 -0.800 -1.204
Pb 0.428 -3.698 -2.931
```

Computed properties:
- calculated volume (Å³/f.u.) = 164
- electronic total energy (Ry/atom) = -0.18892
- space group = Pm-3m
- crystal system = cubic


(7)
The following is a DFT calculation (GGA-PBE) of a relaxed structure of CuPb2I6.

```
18
Lattice="7.363 0.000 0.000 0.000 7.363 0.000 0.000 0.000 13.797" Properties=species:S:1:pos:R:3 pbc="T T T"
Pb 0.000 0.000 2.241
I 6.003 1.360 8.895
I 5.788 1.575 0.000
Cu 0.000 0.000 6.898
I 2.107 2.107 6.898
I 6.003 1.360 4.902
I 5.042 5.042 11.800
I 1.360 6.003 8.895
Pb 3.681 3.681 4.658
Pb 3.681 3.681 9.139
I 1.360 6.003 4.902
Cu 3.681 3.681 0.000
I 5.256 5.256 6.898
I 2.321 2.321 11.800
I 5.042 5.042 1.996
Pb 0.000 0.000 11.556
I 1.575 5.788 0.000
I 2.321 2.321 1.996
```

Computed properties:
- calculated volume (Å³/f.u.) = 374
- electronic total energy (Ry/atom) = -0.19653
- space group = P4_2/mnm
- crystal system = tetragonal


(8)
The following is a DFT calculation (GGA-PBE) of a relaxed structure of Cu2Pb3I8.

```
13
Lattice="-2.857 -5.324 5.071 -0.429 -6.179 -6.729 8.465 2.474 3.404" Properties=species:S:1:pos:R:3 pbc="T T T"
I -0.254 -5.679 1.991
I 5.432 -3.350 -0.244
Pb -0.319 -4.593 -5.002
Pb -0.110 -1.586 -1.727
I 5.638 -0.393 2.976
I -0.459 -8.636 -1.230
I 1.048 -4.625 -2.035
I 1.295 -1.419 1.221
Pb -1.429 -2.662 2.536
I 3.884 -7.610 0.525
Cu 5.514 -2.858 2.273
I 4.131 -4.405 3.782
Cu -0.335 -6.171 -0.527
```

Computed properties:
- calculated volume (Å³/f.u.) = 568
- electronic total energy (Ry/atom) = -0.21422
- space group = C2/m
- crystal system = monoclinic


Question: Which value of electronic total energy does entry 3 give?
Answer: -0.24011 Ry/atom